1.
This record from the Alexandria database describes a relaxed RbErSnF6 crystal. The functional is PBE.

Cell: 5.018 6.323 6.327 Å, 119.94 90.02 90.02°
Space group P1 (No. 1)
Asymmetric unit:
Rb  0.000  0.000  0.000 x1
Er  0.412  0.667  0.333 x1
Sn  0.494  0.333  0.667 x1
F  0.209  0.017  0.585 x1
F  0.209  0.568  0.983 x1
F  0.210  0.414  0.432 x1
F  0.635  0.712  0.640 x1
F  0.635  0.929  0.288 x1
F  0.637  0.362  0.073 x1

As for the volume: 19.33 Å³ per atom. The raw formation energy is -3190 meV per atom.

2.
This record from the Alexandria database describes a relaxed SbPbAu crystal. The functional is PBE.

Cell: 4.456 5.346 7.154 Å, 90.00 90.00 90.00°
Space group Pmn2_1 (No. 31)
Asymmetric unit:
Sb  0.000  0.039  0.000 x2
Pb  0.000  0.475  0.282 x2
Au  0.000  0.208  0.639 x2

As for the volume: 28.40 Å³ per atom. Its energy above the most stable polymorph in this dataset is 0.033 eV/atom. The raw formation energy is -54 meV per atom.

3.
This record from the Alexandria database describes a relaxed K2LaTl crystal. The functional is PBE.

Cell: 4.078 4.077 11.463 Å, 90.00 90.01 90.00°
Space group Pm (No. 6)
Asymmetric unit:
K  0.000  0.000  0.000 x1
K  0.500  0.500  0.343 x1
La  0.498  0.500  0.699 x1
Tl  0.998  0.000  0.557 x1

The energy relative to the elements comes out at -14 meV/atom. As for the volume: 47.65 Å³ per atom. Its energy above the most stable polymorph in this dataset is 0.000 eV/atom.

4.
This record from the Alexandria database describes a relaxed Mg2TlCr crystal. The functional is PBE.

Cell: 4.427 4.427 8.411 Å, 90.00 90.00 90.00°
Space group I-4m2 (No. 119)
Asymmetric unit:
Mg  0.000  0.000  0.000 x2
Mg  0.000  0.500  0.250 x2
Tl  0.000  0.000  0.500 x2
Cr  0.000  0.500  0.750 x2

The energy relative to the elements comes out at 240 meV/atom. As for the volume: 20.60 Å³ per atom. Its energy above the most stable polymorph in this dataset is 0.000 eV/atom.

5.
This record from the Alexandria database describes a relaxed AlZnMo2 crystal. The functional is PBE.

Cell: 2.8016 2.8016 27.7288 Å, 90.00 90.00 120.00°
Space group R3m (No. 160, hexagonal axes)
Asymmetric unit:
Al  0.0000  0.0000  0.0000 x3
Zn  0.0000  0.0000  0.2502 x3
Mo  0.0000  0.0000  0.5006 x3
Mo  0.0000  0.0000  0.7479 x3

The energy relative to the elements comes out at 168 meV/atom. As for the volume: 15.71 Å³ per atom.

6.
This record from the Alexandria database describes a relaxed Mg8Ir2Pb crystal. The functional is PBE.

Cell: 4.732 6.556 8.164 Å, 112.86 105.78 92.56°
Space group P1 (No. 1)
Asymmetric unit:
Mg  0.000  0.000  0.000 x1
Mg  0.025  0.473  0.054 x1
Mg  0.220  0.353  0.402 x1
Mg  0.409  0.886  0.652 x1
Mg  0.467  0.603  0.902 x1
Mg  0.624  0.071  0.249 x1
Mg  0.652  0.652  0.302 x1
Mg  0.974  0.141  0.651 x1
Ir  0.150  0.906  0.320 x1
Ir  0.478  0.238  0.983 x1
Pb  0.854  0.576  0.651 x1

The energy relative to the elements comes out at -184 meV/atom. As for the volume: 20.12 Å³ per atom.

7.
This record from the Alexandria database describes a relaxed AlAgAs3 crystal. The functional is PBE.

Cell: 4.855 4.855 4.855 Å, 90.00 90.00 90.00°
Space group Pm-3m (No. 221)
Asymmetric unit:
Al  0.000  0.000  0.000 x1
Ag  0.500  0.500  0.500 x1
As  0.000  0.000  0.500 x3

The energy relative to the elements comes out at 615 meV/atom. As for the volume: 22.88 Å³ per atom. Its energy above the most stable polymorph in this dataset is 0.000 eV/atom.

8.
This record from the Alexandria database describes a relaxed TiRuSe2Br crystal. The functional is PBE.

Cell: 4.935 4.935 5.046 Å, 90.00 90.00 90.00°
Space group P4/mmm (No. 123)
Asymmetric unit:
Ti  0.000  0.000  0.000 x1
Ru  0.500  0.500  0.500 x1
Se  0.000  0.500  0.000 x2
Br  0.000  0.000  0.500 x1

As for the volume: 24.58 Å³ per atom. Its energy above the most stable polymorph in this dataset is 0.000 eV/atom. The raw formation energy is 356 meV per atom.

9.
This record from the Alexandria database describes a relaxed FeCo2SbC crystal. The functional is PBE.

Cell: 3.861 3.861 3.918 Å, 90.00 90.00 90.00°
Space group P4/mmm (No. 123)
Asymmetric unit:
Fe  0.000  0.000  0.000 x1
Co  0.000  0.500  0.500 x2
Sb  0.500  0.500  0.000 x1
C  0.000  0.000  0.500 x1

As for the volume: 11.68 Å³ per atom. The raw formation energy is 135 meV per atom.

10.
This record from the Alexandria database describes a relaxed BeFeBi2Os crystal. The functional is PBE.

Cell: 4.919 4.919 3.937 Å, 90.00 90.00 90.00°
Space group P4/mmm (No. 123)
Asymmetric unit:
Be  0.000  0.000  0.000 x1
Fe  0.000  0.000  0.500 x1
Bi  0.000  0.500  0.000 x2
Os  0.500  0.500  0.500 x1

The energy relative to the elements comes out at 1231 meV/atom. As for the volume: 19.05 Å³ per atom. Its energy above the most stable polymorph in this dataset is 0.000 eV/atom.

11.
This record from the Alexandria database describes a relaxed TbPaIrPt crystal. The functional is PBE.

Cell: 6.974 6.974 6.974 Å, 90.00 90.00 90.00°
Space group F-43m (No. 216)
Asymmetric unit:
Tb  0.000  0.000  0.000 x4
Pa  0.000  0.000  0.500 x4
Ir  0.250  0.250  0.250 x4
Pt  0.250  0.250  0.750 x4

The energy relative to the elements comes out at -804 meV/atom. As for the volume: 21.20 Å³ per atom. Its energy above the most stable polymorph in this dataset is 0.252 eV/atom.

12.
This record from the Alexandria database describes a relaxed PmThAgGe crystal. The functional is PBE.

Cell: 7.394 7.394 7.394 Å, 90.00 90.00 90.00°
Space group F-43m (No. 216)
Asymmetric unit:
Pm  0.000  0.000  0.000 x4
Th  0.000  0.000  0.500 x4
Ag  0.250  0.250  0.250 x4
Ge  0.250  0.250  0.750 x4

The energy relative to the elements comes out at -387 meV/atom. As for the volume: 25.27 Å³ per atom.